1.
Material: ScTa2Ag
Method: DFT, PBE
State: relaxed

The raw total energy comes out at -7.991 eV per atom. Its total magnetic moment is 0.000 μB per atom. For the energy of formation, the calculation gives 0.231 eV per atom. The calculation puts the energy above the lowest structure with this stoichiometry at 0.131 eV per atom.

Cell: 4.6483 2.8809 5.8381 Å, 78.44 90.00 90.00°
Last column: nearest neighbours and their distance in Å.
Fractional positions:
1 Ag 0.0000 0.4748 0.5124  2 Ag 2.88, 4 Ta 2.92-3.05, 4 Sc 2.95-3.15
2 Ta 0.5000 0.2438 0.2145  4 Ta 2.75-2.88, 1 Sc 2.88, 2 Ag 3.05
3 Ta 0.0000 0.9770 0.0263  4 Ta 2.75-2.88, 2 Ag 2.92-3.05, 2 Sc 2.94
4 Sc 0.5000 0.8044 0.7468  4 Ta 2.88-3.11, 2 Sc 2.88, 4 Ag 2.95-3.15

=====

2.
Material: Mg2SiSb
Method: DFT, PBE
State: relaxed

The value obtained for the formation energy (no corrections) is 0.083 eV per atom. The raw total energy comes out at -3.101 eV per atom. Its total magnetic moment is 0.000 μB per atom. The calculation puts the energy above the lowest structure with this stoichiometry at 0.086 eV per atom.

Cell: 4.9545 4.9545 4.9545 Å, 60.00 60.00 60.00°
Last column: nearest neighbours and their distance in Å.
Fractional positions:
1 Si 0.0000 0.0000 0.0000  8 Mg 3.03
2 Sb 0.5000 0.5000 0.5000  8 Mg 3.03
3 Mg 0.7500 0.7500 0.7500  4 Si 3.03, 4 Sb 3.03
4 Mg 0.2500 0.2500 0.2500  4 Sb 3.03, 4 Si 3.03

=====

3.
Material: La9Tb4Sm11
Method: DFT, PBE
State: relaxed

The raw total energy comes out at -4.731 eV per atom. Its total magnetic moment is 0.001 μB per atom. For the energy of formation, the calculation gives 0.052 eV per atom.

Cell: 3.7125 15.9854 15.9854 Å, 117.33 90.00 90.00°
Last column: nearest neighbours and their distance in Å.
Fractional positions:
1 La 0.5000 0.0222 0.2047  1 Tb 3.57, 8 Sm 3.58-3.67, 3 La 3.71-3.77
2 La 0.5000 0.6122 0.1731  3 La 3.57-3.71, 8 Sm 3.58-3.73, 1 Tb 3.66
3 La 0.5000 0.1731 0.6122  3 La 3.57-3.71, 8 Sm 3.58-3.73, 1 Tb 3.66
4 La 0.5000 0.3878 0.8269  3 La 3.57-3.71, 8 Sm 3.58-3.73, 1 Tb 3.66
5 La 0.5000 0.7953 0.9778  1 Tb 3.57, 8 Sm 3.58-3.67, 3 La 3.71-3.77
6 La 0.5000 0.5000 0.5000  2 La 3.71, 4 Sm 3.79, 4 Tb 3.80
7 La 0.5000 0.2047 0.0222  1 Tb 3.57, 8 Sm 3.58-3.67, 3 La 3.71-3.77
8 La 0.5000 0.8269 0.3878  3 La 3.57-3.71, 8 Sm 3.58-3.73, 1 Tb 3.66
9 La 0.5000 0.9778 0.7953  1 Tb 3.57, 8 Sm 3.58-3.67, 3 La 3.71-3.77
10 Sm 0.0000 0.8167 0.1833  4 Sm 3.63-3.71, 8 La 3.65-3.70
11 Sm 0.0000 0.1833 0.8167  4 Sm 3.63-3.71, 8 La 3.65-3.70
12 Sm 0.0000 0.3790 0.6210  4 Tb 3.50, 2 Sm 3.71, 6 La 3.72-3.79
13 Sm 0.0000 0.4018 0.0352  6 La 3.58-3.73, 2 Tb 3.61, 4 Sm 3.63-3.79
14 Sm 0.0000 0.6210 0.3790  4 Tb 3.50, 2 Sm 3.71, 6 La 3.72-3.79
15 Sm 0.0000 0.5982 0.9648  6 La 3.58-3.73, 2 Tb 3.61, 4 Sm 3.63-3.79
16 Sm 0.0000 0.0352 0.4018  6 La 3.58-3.73, 2 Tb 3.61, 4 Sm 3.63-3.79
17 Sm 0.0000 0.7690 0.7690  4 Tb 3.51, 4 La 3.67, 3 Sm 3.71-3.84
18 Sm 0.0000 0.2310 0.2310  4 Tb 3.51, 4 La 3.67, 3 Sm 3.71-3.84
19 Sm 0.0000 0.9648 0.5982  6 La 3.58-3.73, 2 Tb 3.61, 4 Sm 3.63-3.79
20 Sm 0.0000 0.0000 0.0000  8 La 3.63, 4 Sm 3.71-3.84
21 Tb 0.5000 0.7633 0.5802  6 Sm 3.50-3.61, 3 La 3.57-3.80, 2 Tb 3.71
22 Tb 0.5000 0.4198 0.2367  6 Sm 3.50-3.61, 3 La 3.57-3.80, 2 Tb 3.71
23 Tb 0.5000 0.5802 0.7633  6 Sm 3.50-3.61, 3 La 3.57-3.80, 2 Tb 3.71
24 Tb 0.5000 0.2367 0.4198  6 Sm 3.50-3.61, 3 La 3.57-3.80, 2 Tb 3.71